[1]
Compound: HfThZr
Source: Alexandria
Functional: PBE-GGA
Structure: relaxed

Output
The value obtained for the calculated density is 10.63 g cm⁻³. The formation energy comes out at 0.399 eV/f.u. The crystal system is trigonal.

Geometry as CIF:
```
data_HfThZr
_cell_length_a 5.1778
_cell_length_b 5.1778
_cell_length_c 3.3771
_cell_angle_alpha 90.00
_cell_angle_beta 90.00
_cell_angle_gamma 120.00
_space_group_name_H-M_alt 'P 3 m 1'
_space_group_IT_number 156
_space_group_name_Hall 'P 3 -2"'
loop_
_atom_site_label
_atom_site_type_symbol
_atom_site_fract_x
_atom_site_fract_y
_atom_site_fract_z
_atom_site_occupancy
Hf1 Hf 0.0000 0.0000 0.0000 1
Th1 Th 0.6667 0.3333 0.5659 1
Zr1 Zr 0.3333 0.6667 0.1418 1
```


[2]
Compound: Hf2ThZr6
Source: Alexandria
Functional: PBE-GGA
Structure: relaxed

Output
The value obtained for the calculated density is 8.68 g cm⁻³. The formation energy comes out at 0.951 eV/f.u. The crystal system is monoclinic.

Geometry as CIF:
```
data_Hf2ThZr6
_cell_length_a 11.215
_cell_length_b 13.217
_cell_length_c 6.015
_cell_angle_alpha 90.00
_cell_angle_beta 102.71
_cell_angle_gamma 90.00
_space_group_name_H-M_alt 'C 1 2/c 1'
_space_group_IT_number 15
_space_group_name_Hall '-C 2yc'
loop_
_atom_site_label
_atom_site_type_symbol
_atom_site_fract_x
_atom_site_fract_y
_atom_site_fract_z
_atom_site_occupancy
Hf1 Hf 0.136 0.014 0.365 1
Th1 Th 0.000 0.408 0.250 1
Zr1 Zr 0.046 0.191 0.019 1
Zr2 Zr 0.152 0.399 0.818 1
Zr3 Zr 0.233 0.188 0.697 1
```


[3]
Compound: Hf2ThZr4
Source: Alexandria
Functional: PBE-GGA
Structure: relaxed

Output
The value obtained for the calculated density is 8.77 g cm⁻³. The formation energy comes out at 1.602 eV/f.u. The crystal system is monoclinic.

Geometry as CIF:
```
data_Hf2ThZr4
_cell_length_a 5.407
_cell_length_b 3.248
_cell_length_c 10.443
_cell_angle_alpha 90.00
_cell_angle_beta 99.99
_cell_angle_gamma 90.00
_space_group_name_H-M_alt 'P 1 2 1'
_space_group_IT_number 3
_space_group_name_Hall 'P 2y'
loop_
_atom_site_label
_atom_site_type_symbol
_atom_site_fract_x
_atom_site_fract_y
_atom_site_fract_z
_atom_site_occupancy
Hf1 Hf 0.000 0.000 0.000 1
Hf2 Hf 0.500 0.485 0.000 1
Th1 Th 0.500 0.395 0.500 1
Zr1 Zr 0.075 0.520 0.738 1
Zr2 Zr 0.412 0.983 0.237 1
```


[4]
Compound: Hf2ThZr8
Source: Alexandria
Functional: PBE-GGA
Structure: relaxed

Output
The value obtained for the calculated density is 8.10 g cm⁻³. The formation energy comes out at 1.454 eV/f.u. The crystal system is monoclinic.

Geometry as CIF:
```
data_Hf2ThZr8
_cell_length_a 21.136
_cell_length_b 3.242
_cell_length_c 8.532
_cell_angle_alpha 90.00
_cell_angle_beta 112.35
_cell_angle_gamma 90.00
_space_group_name_H-M_alt 'C 1 2/m 1'
_space_group_IT_number 12
_space_group_name_Hall '-C 2y'
loop_
_atom_site_label
_atom_site_type_symbol
_atom_site_fract_x
_atom_site_fract_y
_atom_site_fract_z
_atom_site_occupancy
Hf1 Hf 0.192 0.000 0.197 1
Th1 Th 0.000 0.500 0.500 1
Zr1 Zr 0.056 0.000 0.242 1
Zr2 Zr 0.076 0.500 0.935 1
Zr3 Zr 0.180 0.500 0.501 1
Zr4 Zr 0.185 0.000 0.831 1
```


[5]
Compound: HfThZr4
Source: Alexandria
Functional: PBE-GGA
Structure: relaxed

Output
The value obtained for the calculated density is 8.67 g cm⁻³. The formation energy comes out at 0.319 eV/f.u. The crystal system is monoclinic.

Geometry as CIF:
```
data_HfThZr4
_cell_length_a 6.502
_cell_length_b 5.248
_cell_length_c 8.773
_cell_angle_alpha 90.00
_cell_angle_beta 97.08
_cell_angle_gamma 90.00
_space_group_name_H-M_alt 'P 1 21/m 1'
_space_group_IT_number 11
_space_group_name_Hall '-P 2yb'
loop_
_atom_site_label
_atom_site_type_symbol
_atom_site_fract_x
_atom_site_fract_y
_atom_site_fract_z
_atom_site_occupancy
Hf1 Hf 0.184 0.250 0.369 1
Th1 Th 0.314 0.750 0.594 1
Zr1 Zr 0.062 0.250 0.736 1
Zr2 Zr 0.117 0.750 0.938 1
Zr3 Zr 0.372 0.250 0.052 1
Zr4 Zr 0.416 0.750 0.251 1
```


[6]
Compound: HfThZr
Source: Alexandria
Functional: PBE-GGA
Structure: relaxed

Output
The value obtained for the calculated density is 10.72 g cm⁻³. The formation energy comes out at 0.306 eV/f.u. The crystal system is tetragonal.

Geometry as CIF:
```
data_HfThZr
_cell_length_a 3.299
_cell_length_b 3.299
_cell_length_c 14.279
_cell_angle_alpha 90.00
_cell_angle_beta 90.00
_cell_angle_gamma 90.00
_space_group_name_H-M_alt 'I 4 m m'
_space_group_IT_number 107
_space_group_name_Hall 'I 4 -2'
loop_
_atom_site_label
_atom_site_type_symbol
_atom_site_fract_x
_atom_site_fract_y
_atom_site_fract_z
_atom_site_occupancy
Hf1 Hf 0.000 0.000 0.000 1
Th1 Th 0.000 0.000 0.327 1
Zr1 Zr 0.000 0.000 0.647 1
```


[7]
Compound: Hf2ThZr2
Source: Alexandria
Functional: PBE-GGA
Structure: relaxed

Output
The value obtained for the calculated density is 9.83 g cm⁻³. The formation energy comes out at 1.780 eV/f.u. The crystal system is orthorhombic.

Geometry as CIF:
```
data_Hf2ThZr2
_cell_length_a 4.256
_cell_length_b 4.267
_cell_length_c 7.172
_cell_angle_alpha 90.00
_cell_angle_beta 90.00
_cell_angle_gamma 90.00
_space_group_name_H-M_alt 'P m m m'
_space_group_IT_number 47
_space_group_name_Hall '-P 2 2'
loop_
_atom_site_label
_atom_site_type_symbol
_atom_site_fract_x
_atom_site_fract_y
_atom_site_fract_z
_atom_site_occupancy
Hf1 Hf 0.000 0.000 0.196 1
Th1 Th 0.500 0.500 0.000 1
Zr1 Zr 0.000 0.500 0.500 1
Zr2 Zr 0.500 0.000 0.500 1
```


[8]
Compound: Hf3Ti4
Source: Alexandria
Functional: PBE-GGA
Structure: relaxed

Output
The value obtained for the calculated density is 8.83 g cm⁻³. The formation energy comes out at 0.241 eV/f.u. The crystal system is hexagonal.

Geometry as CIF:
```
data_Hf3Ti4
_cell_length_a 8.1027
_cell_length_b 8.1027
_cell_length_c 4.8084
_cell_angle_alpha 90.00
_cell_angle_beta 90.00
_cell_angle_gamma 120.00
_space_group_name_H-M_alt 'P 63/m'
_space_group_IT_number 176
_space_group_name_Hall '-P 6c'
loop_
_atom_site_label
_atom_site_type_symbol
_atom_site_fract_x
_atom_site_fract_y
_atom_site_fract_z
_atom_site_occupancy
Hf1 Hf 0.0576 0.2543 0.2500 1
Ti1 Ti 0.1039 0.4951 0.7500 1
Ti2 Ti 0.3333 0.6667 0.2500 1
```


[9]
Compound: Hf4Ti
Source: Alexandria
Functional: PBE-GGA
Structure: relaxed

Output
The value obtained for the calculated density is 10.75 g cm⁻³. The formation energy comes out at 4.388 eV/f.u. The crystal system is cubic.

Geometry as CIF:
```
data_Hf4Ti
_cell_length_a 4.900
_cell_length_b 4.900
_cell_length_c 4.900
_cell_angle_alpha 90.00
_cell_angle_beta 90.00
_cell_angle_gamma 90.00
_space_group_name_H-M_alt 'P m -3 m'
_space_group_IT_number 221
_space_group_name_Hall '-P 4 2 3'
loop_
_atom_site_label
_atom_site_type_symbol
_atom_site_fract_x
_atom_site_fract_y
_atom_site_fract_z
_atom_site_occupancy
Hf1 Hf 0.000 0.000 0.000 1
Hf2 Hf 0.000 0.500 0.500 1
Ti1 Ti 0.500 0.500 0.500 1
```


[10]
Compound: Hf3Ti
Source: Alexandria
Functional: PBE-GGA
Structure: relaxed

Output
The value obtained for the calculated density is 11.43 g cm⁻³. The formation energy comes out at 0.107 eV/f.u. The crystal system is orthorhombic.

Geometry as CIF:
```
data_Hf3Ti
_cell_length_a 3.152
_cell_length_b 9.895
_cell_length_c 5.432
_cell_angle_alpha 90.00
_cell_angle_beta 90.00
_cell_angle_gamma 90.00
_space_group_name_H-M_alt 'I m m 2'
_space_group_IT_number 44
_space_group_name_Hall 'I 2 -2'
loop_
_atom_site_label
_atom_site_type_symbol
_atom_site_fract_x
_atom_site_fract_y
_atom_site_fract_z
_atom_site_occupancy
Hf1 Hf 0.000 0.000 0.000 1
Hf2 Hf 0.000 0.246 0.344 1
Ti1 Ti 0.000 0.500 0.013 1
```


[11]
Compound: Hf3Ti
Source: Alexandria
Functional: PBE-GGA
Structure: relaxed

Output
The value obtained for the calculated density is 11.48 g cm⁻³. The formation energy comes out at 0.198 eV/f.u. The crystal system is orthorhombic.

Geometry as CIF:
```
data_Hf3Ti
_cell_length_a 7.724
_cell_length_b 9.434
_cell_length_c 4.630
_cell_angle_alpha 90.00
_cell_angle_beta 90.00
_cell_angle_gamma 90.00
_space_group_name_H-M_alt 'C m c m'
_space_group_IT_number 63
_space_group_name_Hall '-C 2c 2'
loop_
_atom_site_label
_atom_site_type_symbol
_atom_site_fract_x
_atom_site_fract_y
_atom_site_fract_z
_atom_site_occupancy
Hf1 Hf 0.000 0.116 0.250 1
Hf2 Hf 0.214 0.387 0.250 1
Ti1 Ti 0.000 0.325 0.750 1
```


[12]
Compound: Hf2Ti
Source: Alexandria
Functional: PBE-GGA
Structure: relaxed

Output
The value obtained for the calculated density is 10.67 g cm⁻³. The formation energy comes out at 0.303 eV/f.u. The crystal system is monoclinic.

Geometry as CIF:
```
data_Hf2Ti
_cell_length_a 9.712
_cell_length_b 4.853
_cell_length_c 5.408
_cell_angle_alpha 90.00
_cell_angle_beta 98.46
_cell_angle_gamma 90.00
_space_group_name_H-M_alt 'C 1 2/m 1'
_space_group_IT_number 12
_space_group_name_Hall '-C 2y'
loop_
_atom_site_label
_atom_site_type_symbol
_atom_site_fract_x
_atom_site_fract_y
_atom_site_fract_z
_atom_site_occupancy
Hf1 Hf 0.066 0.000 0.275 1
Hf2 Hf 0.234 0.500 0.170 1
Ti1 Ti 0.110 0.500 0.653 1
```